[1]
The following is a DFT calculation (GGA-PBEsol) of Ca3Cu after structural relaxation.

Properties
Energy of formation from the pure elements (eV/f.u.): 0.93
Spin magnetization (μB/cell): 0.00
Space group: Pm-3m

Cell and atoms, written as POSCAR:
```
Ca3Cu
1.0
5.5882 0.0000 0.0000
0.0000 5.5882 0.0000
0.0000 0.0000 5.5882
Ca Cu
3 1
Cartesian
0.0000 0.0000 2.7941
0.0000 2.7941 0.0000
2.7941 0.0000 0.0000
0.0000 0.0000 0.0000
```



[2]
The following is a DFT calculation (GGA-PBEsol) of CaCu5 after structural relaxation.

Properties
Energy of formation from the pure elements (eV/f.u.): -0.62
Spin magnetization (μB/cell): 0.00
Space group: P6/mmm

Cell and atoms, written as POSCAR:
```
CaCu5
1.0
5.0006 0.0000 0.0000
-2.5003 4.3306 0.0000
0.0000 0.0000 3.9964
Ca Cu
1 5
Cartesian
0.0000 0.0000 0.0000
-1.2501 2.1653 1.9982
0.0000 2.8871 0.0000
2.5003 0.0000 1.9982
1.2501 2.1653 1.9982
2.5003 1.4435 0.0000
```



[3]
The following is a DFT calculation (GGA-PBEsol) of CaCu3 after structural relaxation.

Properties
Energy of formation from the pure elements (eV/f.u.): -0.23
Spin magnetization (μB/cell): 0.00
Space group: Pnma

Cell and atoms, written as POSCAR:
```
CaCu3
1.0
7.2111 0.0000 0.0000
0.0000 6.7098 0.0000
0.0000 0.0000 5.3152
Ca Cu
4 12
Cartesian
0.2133 1.6775 0.6405
3.3923 5.0324 3.2981
3.8188 1.6775 2.0171
6.9978 5.0324 4.6747
0.9400 5.0324 1.8976
1.1563 0.4229 3.1084
1.1563 2.9320 3.1084
2.4493 3.7778 0.4508
2.4493 6.2870 0.4508
2.6656 1.6775 4.5552
4.5455 5.0324 0.7600
4.7618 0.4229 4.8645
4.7618 2.9320 4.8645
6.0548 3.7778 2.2068
6.0548 6.2870 2.2068
6.2711 1.6775 3.4176
```



[4]
The following is a DFT calculation (GGA-PBEsol) of CaCu after structural relaxation.

Properties
Energy of formation from the pure elements (eV/f.u.): -0.17
Spin magnetization (μB/cell): 0.00
Space group: C2/m

Cell and atoms, written as POSCAR:
```
CaCu
1.0
3.5723 -2.0622 0.0000
3.5723 2.0622 0.0000
-2.3550 0.0000 6.9301
Ca Cu
2 2
Cartesian
0.0034 0.0000 1.8239
4.7861 0.0000 5.1062
0.0256 0.0000 6.9133
4.7640 0.0000 0.0168
```



[5]
The following is a DFT calculation (GGA-PBEsol) of CaCu after structural relaxation.

Properties
Energy of formation from the pure elements (eV/f.u.): 0.43
Spin magnetization (μB/cell): 0.00
Space group: R-3m

Cell and atoms, written as POSCAR:
```
CaCu
1.0
2.4552 1.4175 3.7612
-2.4552 1.4175 3.7612
0.0000 -2.8350 3.7612
Ca Cu
2 2
Cartesian
0.0000 0.0000 1.4860
0.0000 0.0000 9.7974
0.0000 0.0000 4.3553
0.0000 0.0000 6.9281
```



[6]
The following is a DFT calculation (GGA-PBEsol) of CaCu after structural relaxation.

Properties
Energy of formation from the pure elements (eV/f.u.): 0.34
Spin magnetization (μB/cell): 0.00
Space group: P-3m1

Cell and atoms, written as POSCAR:
```
CaCu
1.0
3.8280 0.0000 0.0000
-1.9140 3.3151 0.0000
0.0000 0.0000 8.0704
Ca Cu
2 2
Cartesian
0.0000 2.2101 1.6276
1.9140 1.1050 6.4427
0.0000 2.2101 4.5221
1.9140 1.1050 3.5483
```



[7]
The following is a DFT calculation (GGA-PBEsol) of CaCu after structural relaxation.

Properties
Energy of formation from the pure elements (eV/f.u.): 0.02
Spin magnetization (μB/cell): 0.00
Space group: Pbcm

Cell and atoms, written as POSCAR:
```
CaCu
1.0
9.7488 0.0000 0.0000
0.0000 8.8938 0.0000
0.0000 0.0000 6.1777
Ca Cu
12 12
Cartesian
1.1220 2.2235 0.0000
1.1220 2.2235 3.0889
2.0196 5.5777 1.5444
2.0196 7.7630 4.6333
3.7312 0.1922 1.5444
3.7312 4.2547 4.6333
6.0177 4.6391 1.5444
6.0177 8.7016 4.6333
7.7292 1.1308 1.5444
7.7292 3.3161 4.6333
8.6269 6.6704 0.0000
8.6269 6.6704 3.0889
0.7297 4.8490 4.6333
0.7297 8.4917 1.5444
3.5583 1.3843 4.6333
3.5583 3.0626 1.5444
4.4901 6.6704 0.0000
4.4901 6.6704 3.0889
5.2587 2.2235 0.0000
5.2587 2.2235 3.0889
6.1905 5.8312 4.6333
6.1905 7.5095 1.5444
9.0191 0.4021 4.6333
9.0191 4.0448 1.5444
```



[8]
The following is a DFT calculation (GGA-PBEsol) of Ca5Cu3 after structural relaxation.

Properties
Energy of formation from the pure elements (eV/f.u.): -0.06
Spin magnetization (μB/cell): 0.00
Space group: P4/mmm

Cell and atoms, written as POSCAR:
```
Ca5Cu3
1.0
3.5352 0.0000 0.0000
0.0000 3.5352 0.0000
0.0000 0.0000 16.3708
Ca Cu
5 3
Cartesian
0.0000 0.0000 0.0000
0.0000 0.0000 3.4252
0.0000 0.0000 12.9457
1.7676 1.7676 6.4862
1.7676 1.7676 9.8847
0.0000 0.0000 8.1854
1.7676 1.7676 1.7338
1.7676 1.7676 14.6371
```